The following is a DFT calculation (PBE with a Hubbard U) of Sr2NiBiF after structural relaxation.

Computed properties:
Mass density (g/cm³): 5.612
Total energy (eV per cell): -15.15
Space-group type: P4/mmm, No. 123

Cell lengths 5.901, 5.901, 3.926 Å; angles 90.00, 90.00, 90.00 degrees
Sites, in units of the cell vectors:
Sr: 0.000 0.500 0.000
Sr: 0.500 0.000 0.000
Ni: 0.000 0.000 0.000
Bi: 0.500 0.500 0.500
F: 0.000 0.000 0.500